{"formula": "Fe2BO3", "functional": "PBE+U", "state": "optimized geometry", "lattice_angstrom": [[2.638, 0.000, 0.000], [0.000, 5.837, 0.000], [0.000, 0.000, 15.337]], "species": ["B", "B", "B", "B", "O", "O", "O", "O", "O", "O", "O", "O", "O", "O", "O", "O", "Fe", "Fe", "Fe", "Fe", "Fe", "Fe", "Fe", "Fe"], "frac_coords": [[0.250, 0.345, 0.612], [0.750, 0.155, 0.112], [0.750, 0.655, 0.388], [0.250, 0.845, 0.888], [0.750, 0.334, 0.049], [0.250, 0.666, 0.951], [0.250, 0.506, 0.398], [0.250, 0.761, 0.796], [0.750, 0.834, 0.451], [0.250, 0.006, 0.102], [0.250, 0.261, 0.704], [0.750, 0.739, 0.296], [0.250, 0.166, 0.549], [0.750, 0.494, 0.602], [0.750, 0.239, 0.204], [0.750, 0.994, 0.898], [0.750, 0.688, 0.061], [0.250, 0.312, 0.939], [0.750, 0.966, 0.715], [0.750, 0.466, 0.785], [0.750, 0.188, 0.439], [0.250, 0.034, 0.285], [0.250, 0.534, 0.215], [0.250, 0.812, 0.561]], "magmom_total_mub_per_fu": 7.30, "crystal_system": "orthorhombic", "density_g_cm3": 4.796, "e_tot_ev_per_atom": -6.828}